# PBE with a Hubbard U NdY2WO8, relaxed
data_NdY2WO8
_cell_length_a 7.131
_cell_length_b 7.200
_cell_length_c 6.990
_cell_angle_alpha 90.00
_cell_angle_beta 90.00
_cell_angle_gamma 90.00
_symmetry_space_group_name_H-M 'C m m m'
_symmetry_Int_Tables_number 65
_symmetry_space_group_name_Hall '-C 2 2'
loop_
_atom_site_label
_atom_site_fract_x
_atom_site_fract_y
_atom_site_fract_z
Nd1 0.000 0.000 0.000
Y1 0.000 0.500 0.258
W1 0.000 0.000 0.500
O1 0.000 0.184 0.294
O2 0.183 0.500 0.000
O3 0.224 0.500 0.500
# Total magnetic moment: 0.9 μB per formula unit
# Raw total energy: -196.37 eV per cell